The following is a DFT calculation (PBE-GGA) of a relaxed CuAg4 crystal.

Calculated values
VASP energy = -2.9499 eV per atom
space-group type = P2_1/m (11)

a b c (Å): 6.3808 4.0704 6.4439
angles (deg): 90.00 90.38 90.00
Closest atoms and distances in Å follow each position.
Sites, in units of the cell vectors:
Cu (0.0468, 0.2500, 0.3560)  10 Ag 2.74-2.93, 2 Cu 2.82
Cu (0.9532, 0.7500, 0.6440)  10 Ag 2.74-2.93, 2 Cu 2.82
Ag (0.1471, 0.7500, 0.0446)  9 Ag 2.83-2.91, 3 Cu 2.86-2.93
Ag (0.2394, 0.2500, 0.7379)  3 Cu 2.74-2.80, 9 Ag 2.83-2.98
Ag (0.3344, 0.7500, 0.4475)  3 Cu 2.75-2.80, 9 Ag 2.83-3.01
Ag (0.4442, 0.2500, 0.1532)  1 Cu 2.86, 11 Ag 2.86-2.97
Ag (0.5558, 0.7500, 0.8468)  1 Cu 2.86, 11 Ag 2.86-2.97
Ag (0.6656, 0.2500, 0.5525)  3 Cu 2.75-2.80, 9 Ag 2.83-3.01
Ag (0.7606, 0.7500, 0.2621)  3 Cu 2.74-2.80, 9 Ag 2.83-2.98
Ag (0.8529, 0.2500, 0.9554)  9 Ag 2.83-2.91, 3 Cu 2.86-2.93